First-principles (PBE-GGA) data for an optimized crystal structure of CoTc2Au, as listed in the Alexandria database.

relative energy among the computed polymorphs: 0.121 eV/atom
ΔE_f: 126 kJ/mol of formula units

abc: 4.6348 2.7470 4.7887
angles: 90.00 108.55 90.00
Fractional coordinates of all 4 atoms:
Co  0.0000  0.0000  0.0000
Tc  0.0000  0.5000  0.5000
Tc  0.5000  0.0000  0.5000
Au  0.5000  0.5000  0.0000

First-principles (PBE-GGA) data for an optimized crystal structure of Nb2PRu, as listed in the Alexandria database.

ΔE_f: 204 kJ/mol of formula units

abc: 7.6387 7.6387 7.6387
angles: 141.07 141.07 56.24
Fractional coordinates of all 8 atoms:
Nb  0.1149  0.6250  0.9899
Nb  0.3750  0.3649  0.4899
Nb  0.6351  0.1250  0.0101
Nb  0.8750  0.8851  0.5101
P  0.0000  0.0000  0.0000
P  0.7500  0.2500  0.5000
Ru  0.2500  0.7500  0.5000
Ru  0.5000  0.5000  0.0000

First-principles (PBE-GGA) data for an optimized crystal structure of K3CdO3, as listed in the Alexandria database.

abc: 6.8361 6.8361 6.7713
angles: 94.02 94.02 111.60
Fractional coordinates of all 14 atoms:
K  0.1822  0.8178  0.0000
K  0.2519  0.7481  0.5000
K  0.3687  0.3687  0.1399
K  0.6313  0.6313  0.8601
K  0.7481  0.2519  0.5000
K  0.8178  0.1822  0.0000
Cd  0.1913  0.1913  0.6291
Cd  0.8087  0.8087  0.3709
O  0.0913  0.0913  0.3101
O  0.1835  0.4746  0.7794
O  0.4746  0.1835  0.7794
O  0.5254  0.8165  0.2206
O  0.8165  0.5254  0.2206
O  0.9087  0.9087  0.6899

Result set for raw total energy: -29.8; -65.4; -52.4 eV per cell, one per record in the order listed.
Result set for D(E_F): 4.934; 2.744; 4.791 states/eV/f.u., one per record in the order listed.